Entry 1:
Entry from the Alexandria database: a geometry-optimized Pa2Mn3Tc structure (GGA-PBE).

crystal system: monoclinic
energy of formation: -0.1155 eV/atom

Cell: 8.917 5.144 5.222 Å, 90.00 124.91 90.00°
Space group C2/m (No. 12)
Inequivalent atoms, fractional coordinates:
1 Pa 0.124 0.000 0.372 (multiplicity 4)
2 Mn 0.000 0.500 0.000 (multiplicity 2)
3 Mn 0.250 0.250 0.000 (multiplicity 4)
4 Tc 0.000 0.500 0.500 (multiplicity 2)



Entry 2:
Entry from the Alexandria database: a geometry-optimized PaMn2Tc structure (GGA-PBE).

energy above the most stable polymorph in this dataset: 88 meV/atom
crystal system: cubic
energy of formation: 0.1548 eV/atom

Cell: 6.279 6.279 6.279 Å, 90.00 90.00 90.00°
Space group Fm-3m (No. 225)
Inequivalent atoms, fractional coordinates:
1 Pa 0.000 0.000 0.000 (multiplicity 4)
2 Mn 0.250 0.250 0.250 (multiplicity 8)
3 Tc 0.000 0.000 0.500 (multiplicity 4)



Entry 3:
Entry from the Alexandria database: a geometry-optimized PaMnTc2 structure (GGA-PBE).

energy above the most stable polymorph in this dataset: 394 meV/atom
crystal system: trigonal
energy of formation: 0.3223 eV/atom

Cell: 2.8605 2.8605 27.7501 Å, 90.00 90.00 120.00°
Space group R-3m (No. 166, hexagonal axes)
Inequivalent atoms, fractional coordinates:
1 Pa 0.0000 0.0000 0.0000 (multiplicity 3)
2 Mn 0.0000 0.0000 0.5000 (multiplicity 3)
3 Tc 0.0000 0.0000 0.2369 (multiplicity 6)



Entry 4:
Entry from the Alexandria database: a geometry-optimized PaMnTc structure (GGA-PBE).

energy above the most stable polymorph in this dataset: 284 meV/atom
crystal system: tetragonal
energy of formation: 0.1425 eV/atom

Cell: 3.426 3.426 9.075 Å, 90.00 90.00 90.00°
Space group I4mm (No. 107)
Inequivalent atoms, fractional coordinates:
1 Pa 0.000 0.000 0.000 (multiplicity 2)
2 Mn 0.000 0.000 0.674 (multiplicity 2)
3 Tc 0.000 0.000 0.343 (multiplicity 2)



Entry 5:
Entry from the Alexandria database: a geometry-optimized PaMnTc structure (GGA-PBE).

energy above the most stable polymorph in this dataset: 0 meV/atom
crystal system: orthorhombic
energy of formation: -0.1414 eV/atom

Cell: 5.088 5.493 7.348 Å, 90.00 90.00 90.00°
Space group Imma (No. 74)
Inequivalent atoms, fractional coordinates:
1 Pa 0.000 0.250 0.127 (multiplicity 4)
2 Mn 0.250 0.250 0.750 (multiplicity 4)
3 Tc 0.000 0.000 0.500 (multiplicity 4)



Entry 6:
Entry from the Alexandria database: a geometry-optimized PaMnTc structure (GGA-PBE).

energy above the most stable polymorph in this dataset: 250 meV/atom
crystal system: trigonal
energy of formation: 0.1083 eV/atom

Cell: 4.4730 4.4730 2.9611 Å, 90.00 90.00 120.00°
Space group P3m1 (No. 156)
Inequivalent atoms, fractional coordinates:
1 Pa 0.0000 0.0000 0.0000 (multiplicity 1)
2 Mn 0.3333 0.6667 0.3370 (multiplicity 1)
3 Tc 0.6667 0.3333 0.7449 (multiplicity 1)



Entry 7:
Entry from the Alexandria database: a geometry-optimized PaMnTc structure (GGA-PBE).

energy above the most stable polymorph in this dataset: 224 meV/atom
crystal system: orthorhombic
energy of formation: 0.0827 eV/atom

Cell: 3.021 15.344 4.267 Å, 90.00 90.00 90.00°
Space group Cmcm (No. 63)
Inequivalent atoms, fractional coordinates:
1 Pa 0.000 0.099 0.250 (multiplicity 4)
2 Mn 0.000 0.432 0.250 (multiplicity 4)
3 Tc 0.000 0.216 0.750 (multiplicity 4)



Entry 8:
Entry from the Alexandria database: a geometry-optimized PaTiMnTc structure (GGA-PBE).

crystal system: cubic
energy of formation: -0.1738 eV/atom

Cell: 6.446 6.446 6.446 Å, 90.00 90.00 90.00°
Space group F-43m (No. 216)
Inequivalent atoms, fractional coordinates:
1 Pa 0.000 0.000 0.000 (multiplicity 4)
2 Ti 0.000 0.000 0.500 (multiplicity 4)
3 Mn 0.250 0.250 0.250 (multiplicity 4)
4 Tc 0.250 0.250 0.750 (multiplicity 4)



Entry 9:
Entry from the Alexandria database: a geometry-optimized TmPaMnTc structure (GGA-PBE).

crystal system: cubic
energy of formation: -0.0224 eV/atom

Cell: 6.773 6.773 6.773 Å, 90.00 90.00 90.00°
Space group F-43m (No. 216)
Inequivalent atoms, fractional coordinates:
1 Tm 0.000 0.000 0.000 (multiplicity 4)
2 Pa 0.000 0.000 0.500 (multiplicity 4)
3 Mn 0.250 0.250 0.250 (multiplicity 4)
4 Tc 0.250 0.250 0.750 (multiplicity 4)



Entry 10:
Entry from the Alexandria database: a geometry-optimized PaMnVTc structure (GGA-PBE).

crystal system: cubic
energy of formation: -0.0068 eV/atom

Cell: 6.380 6.380 6.380 Å, 90.00 90.00 90.00°
Space group F-43m (No. 216)
Inequivalent atoms, fractional coordinates:
1 Pa 0.000 0.000 0.000 (multiplicity 4)
2 Mn 0.250 0.250 0.750 (multiplicity 4)
3 V 0.000 0.000 0.500 (multiplicity 4)
4 Tc 0.250 0.250 0.250 (multiplicity 4)



Entry 11:
Entry from the Alexandria database: a geometry-optimized PaMnZnTc structure (GGA-PBE).

crystal system: cubic
energy of formation: -0.0339 eV/atom

Cell: 6.411 6.411 6.411 Å, 90.00 90.00 90.00°
Space group F-43m (No. 216)
Inequivalent atoms, fractional coordinates:
1 Pa 0.000 0.000 0.000 (multiplicity 4)
2 Mn 0.250 0.250 0.250 (multiplicity 4)
3 Zn 0.000 0.000 0.500 (multiplicity 4)
4 Tc 0.250 0.250 0.750 (multiplicity 4)



Entry 12:
Entry from the Alexandria database: a geometry-optimized ZrPaMnTc structure (GGA-PBE).

crystal system: cubic
energy of formation: -0.1176 eV/atom

Cell: 6.640 6.640 6.640 Å, 90.00 90.00 90.00°
Space group F-43m (No. 216)
Inequivalent atoms, fractional coordinates:
1 Zr 0.000 0.000 0.000 (multiplicity 4)
2 Pa 0.000 0.000 0.500 (multiplicity 4)
3 Mn 0.250 0.250 0.750 (multiplicity 4)
4 Tc 0.250 0.250 0.250 (multiplicity 4)



Entry 13:
Entry from the Alexandria database: a geometry-optimized Pa2MnTe4 structure (GGA-PBE).

crystal system: monoclinic
uncorrected formation energy: -516 meV per atom

Cell: 6.953 6.267 9.088 Å, 90.00 103.00 90.00°
Space group P2_1/m (No. 11)
Inequivalent atoms, fractional coordinates:
1 Pa 0.192 0.250 0.498 (multiplicity 2)
2 Pa 0.232 0.750 0.904 (multiplicity 2)
3 Mn 0.006 0.250 0.650 (multiplicity 2)
4 Te 0.166 0.006 0.191 (multiplicity 4)
5 Te 0.331 0.750 0.576 (multiplicity 2)
6 Te 0.355 0.250 0.863 (multiplicity 2)



Entry 14:
Entry from the Alexandria database: a geometry-optimized Pa5Mn2Te2 structure (GGA-PBE).

crystal system: orthorhombic
uncorrected formation energy: -334 meV per atom

Cell: 15.654 7.993 6.933 Å, 90.00 90.00 90.00°
Space group Cmce (No. 64)
Inequivalent atoms, fractional coordinates:
1 Pa 0.000 0.000 0.000 (multiplicity 4)
2 Pa 0.111 0.171 0.354 (multiplicity 16)
3 Mn 0.000 0.106 0.671 (multiplicity 8)
4 Te 0.209 0.000 0.000 (multiplicity 8)



Entry 15:
Entry from the Alexandria database: a geometry-optimized Pa2MnTe structure (GGA-PBE).

crystal system: trigonal
uncorrected formation energy: -357 meV per atom

Cell: 3.9298 3.9298 22.0853 Å, 90.00 90.00 120.00°
Space group R-3m (No. 166, hexagonal axes)
Inequivalent atoms, fractional coordinates:
1 Pa 0.0000 0.0000 0.2295 (multiplicity 6)
2 Mn 0.0000 0.0000 0.5000 (multiplicity 3)
3 Te 0.0000 0.0000 0.0000 (multiplicity 3)



Entry 16:
Entry from the Alexandria database: a geometry-optimized PaMnTe3 structure (GGA-PBE).

crystal system: orthorhombic
uncorrected formation energy: -435 meV per atom

Cell: 5.339 17.561 6.177 Å, 90.00 90.00 90.00°
Space group Ama2 (No. 40)
Inequivalent atoms, fractional coordinates:
1 Pa 0.250 0.133 0.000 (multiplicity 4)
2 Mn 0.250 0.425 0.843 (multiplicity 4)
3 Te 0.250 0.083 0.473 (multiplicity 4)
4 Te 0.250 0.276 0.699 (multiplicity 4)
5 Te 0.250 0.447 0.410 (multiplicity 4)



Entry 17:
Entry from the Alexandria database: a geometry-optimized Pa4Mn2Te5 structure (GGA-PBE).

crystal system: monoclinic
uncorrected formation energy: -582 meV per atom

Cell: 7.477 3.805 11.353 Å, 90.00 107.57 90.00°
Space group P2/m (No. 10)
Inequivalent atoms, fractional coordinates:
1 Pa 0.192 0.000 0.427 (multiplicity 2)
2 Pa 0.261 0.000 0.790 (multiplicity 2)
3 Mn 0.065 0.500 0.619 (multiplicity 2)
4 Te 0.053 0.500 0.184 (multiplicity 2)
5 Te 0.448 0.500 0.642 (multiplicity 2)
6 Te 0.500 0.500 0.000 (multiplicity 1)



Entry 18:
Entry from the Alexandria database: a geometry-optimized PaMnTe2 structure (GGA-PBE).

crystal system: trigonal
uncorrected formation energy: -69 meV per atom

Cell: 3.8926 3.8926 28.4528 Å, 90.00 90.00 120.00°
Space group R-3m (No. 166, hexagonal axes)
Inequivalent atoms, fractional coordinates:
1 Pa 0.0000 0.0000 0.0000 (multiplicity 3)
2 Mn 0.0000 0.0000 0.5000 (multiplicity 3)
3 Te 0.0000 0.0000 0.4074 (multiplicity 6)



Entry 19:
Entry from the Alexandria database: a geometry-optimized Pa3MnTe2 structure (GGA-PBE).

crystal system: monoclinic
uncorrected formation energy: -453 meV per atom

Cell: 7.155 12.328 7.597 Å, 90.00 108.83 90.00°
Space group C2/m (No. 12)
Inequivalent atoms, fractional coordinates:
1 Pa 0.191 0.000 0.196 (multiplicity 4)
2 Pa 0.247 0.189 0.796 (multiplicity 8)
3 Mn 0.000 0.167 0.000 (multiplicity 4)
4 Te 0.000 0.000 0.500 (multiplicity 2)
5 Te 0.000 0.350 0.500 (multiplicity 4)
6 Te 0.000 0.500 0.000 (multiplicity 2)



Entry 20:
Entry from the Alexandria database: a geometry-optimized PaMnTlTe4 structure (GGA-PBE).

crystal system: monoclinic
uncorrected formation energy: -469 meV per atom

Cell: 7.452 6.329 10.028 Å, 90.00 109.28 90.00°
Space group P2_1/m (No. 11)
Inequivalent atoms, fractional coordinates:
1 Pa 0.228 0.250 0.437 (multiplicity 2)
2 Mn 0.218 0.750 0.667 (multiplicity 2)
3 Tl 0.255 0.250 0.954 (multiplicity 2)
4 Te 0.053 0.750 0.391 (multiplicity 2)
5 Te 0.056 0.750 0.863 (multiplicity 2)
6 Te 0.483 0.506 0.295 (multiplicity 4)



Entry 21:
Entry from the Alexandria database: a geometry-optimized ThPa3Mn structure (GGA-PBE).

crystal system: cubic
energy of formation: 0.2208 eV/atom

Cell: 5.067 5.067 5.067 Å, 90.00 90.00 90.00°
Space group Pm-3m (No. 221)
Inequivalent atoms, fractional coordinates:
1 Th 0.000 0.000 0.000 (multiplicity 1)
2 Pa 0.000 0.500 0.500 (multiplicity 3)
3 Mn 0.500 0.500 0.500 (multiplicity 1)



Entry 22:
Entry from the Alexandria database: a geometry-optimized ThPaMn structure (GGA-PBE).

energy above the most stable polymorph in this dataset: 162 meV/atom
crystal system: tetragonal
energy of formation: 0.1074 eV/atom

Cell: 3.468 3.468 11.140 Å, 90.00 90.00 90.00°
Space group I4mm (No. 107)
Inequivalent atoms, fractional coordinates:
1 Th 0.000 0.000 0.000 (multiplicity 2)
2 Pa 0.000 0.000 0.297 (multiplicity 2)
3 Mn 0.000 0.000 0.688 (multiplicity 2)



Entry 23:
Entry from the Alexandria database: a geometry-optimized ThPaMn2 structure (GGA-PBE).

crystal system: trigonal
energy of formation: 0.0010 eV/atom

Cell: 4.1990 4.1990 15.7918 Å, 90.00 90.00 120.00°
Space group R-3m (No. 166, hexagonal axes)
Inequivalent atoms, fractional coordinates:
1 Th 0.0000 0.0000 0.0000 (multiplicity 3)
2 Pa 0.0000 0.0000 0.5000 (multiplicity 3)
3 Mn 0.0000 0.0000 0.2076 (multiplicity 6)



Entry 24:
Entry from the Alexandria database: a geometry-optimized Th2PaMn structure (GGA-PBE).

energy above the most stable polymorph in this dataset: 356 meV/atom
crystal system: trigonal
energy of formation: 0.5220 eV/atom

Cell: 3.2734 3.2734 33.9368 Å, 90.00 90.00 120.00°
Space group R-3m (No. 166, hexagonal axes)
Inequivalent atoms, fractional coordinates:
1 Th 0.0000 0.0000 0.0934 (multiplicity 6)
2 Pa 0.0000 0.0000 0.0000 (multiplicity 3)
3 Mn 0.0000 0.0000 0.5000 (multiplicity 3)



Entry 25:
Entry from the Alexandria database: a geometry-optimized ThPaMn4 structure (GGA-PBE).

crystal system: cubic
energy of formation: 0.0030 eV/atom

Cell: 7.339 7.339 7.339 Å, 90.00 90.00 90.00°
Space group F-43m (No. 216)
Inequivalent atoms, fractional coordinates:
1 Th 0.000 0.000 0.000 (multiplicity 4)
2 Pa 0.250 0.250 0.750 (multiplicity 4)
3 Mn 0.124 0.124 0.376 (multiplicity 16)



Entry 26:
Entry from the Alexandria database: a geometry-optimized ThPa2Mn9 structure (GGA-PBE).

crystal system: trigonal
energy of formation: 0.0167 eV/atom

Cell: 5.0094 5.0094 25.0340 Å, 90.00 90.00 120.00°
Space group R-3m (No. 166, hexagonal axes)
Inequivalent atoms, fractional coordinates:
1 Th 0.0000 0.0000 0.0000 (multiplicity 3)
2 Pa 0.0000 0.0000 0.1419 (multiplicity 6)
3 Mn 0.0000 0.0000 0.3333 (multiplicity 6)
4 Mn 0.0000 0.0000 0.5000 (multiplicity 3)
5 Mn 0.0005 0.5002 0.0826 (multiplicity 18)



Entry 27:
Entry from the Alexandria database: a geometry-optimized ThPaMn structure (GGA-PBE).

energy above the most stable polymorph in this dataset: 169 meV/atom
crystal system: hexagonal
energy of formation: 0.1150 eV/atom

Cell: 4.0892 4.0892 5.1259 Å, 90.00 90.00 120.00°
Space group P-6m2 (No. 187)
Inequivalent atoms, fractional coordinates:
1 Th 0.0000 0.0000 0.0000 (multiplicity 1)
2 Pa 0.6667 0.3333 0.5000 (multiplicity 1)
3 Mn 0.3333 0.6667 0.5000 (multiplicity 1)



Number 1: magnetization 9.301 μB/cell. Number 2: magnetization 13.808 μB/cell. Number 3: magnetization 3.545 μB/cell. Number 4: magnetization 5.476 μB/cell. Number 5: magnetization 6.912 μB/cell. Number 6: magnetization 2.554 μB/cell. Number 7: magnetization 0.007 μB/cell. Number 8: magnetization 0.038 μB/cell. Number 9: magnetization 6.472 μB/cell. Number 10: magnetization 3.702 μB/cell. Number 11: magnetization 8.582 μB/cell. Number 12: magnetization 1.671 μB/cell. Number 13: magnetization 3.782 μB/cell. Number 14: magnetization 0.000 μB/cell. Number 15: magnetization 0.000 μB/cell. Number 16: magnetization 14.769 μB/cell. Number 17: magnetization 0.000 μB/cell. Number 18: magnetization 10.837 μB/cell. Number 19: magnetization 0.000 μB/cell. Number 20: magnetization 7.552 μB/cell. Number 21: magnetization 0.000 μB/cell. Number 22: magnetization 1.394 μB/cell. Number 23: magnetization 0.730 μB/cell. Number 24: magnetization 8.547 μB/cell. Number 25: magnetization 27.351 μB/cell. Number 26: magnetization 38.883 μB/cell. Number 27: magnetization 0.000 μB/cell.